DFT (PBE) results for NaTlAgSn after structural relaxation.

SG: F-43m (216)
distance to the lowest polymorph of the same formula: 0 meV per atom
formation enthalpy at 0 K: -0.02 eV per atom

Lattice parameters (Å, degrees): 7.2905 7.2905 7.2905 90.00 90.00 90.00
Sites, in units of the cell vectors:
Na 0.0000 0.0000 0.0000
Na 0.0000 0.5000 0.5000
Na 0.5000 0.0000 0.5000
Na 0.5000 0.5000 0.0000
Tl 0.2500 0.2500 0.2500
Tl 0.2500 0.7500 0.7500
Tl 0.7500 0.2500 0.7500
Tl 0.7500 0.7500 0.2500
Ag 0.0000 0.0000 0.5000
Ag 0.0000 0.5000 0.0000
Ag 0.5000 0.0000 0.0000
Ag 0.5000 0.5000 0.5000
Sn 0.2500 0.2500 0.7500
Sn 0.2500 0.7500 0.2500
Sn 0.7500 0.2500 0.2500
Sn 0.7500 0.7500 0.7500